DFT (PBE-GGA) results for a geometry-optimized Sr2ZrP structure.

Cell lengths 3.550, 3.550, 9.634 Å; angles 90.00, 90.00, 90.00 degrees
Site moments in Bohr magnetons follow the coordinates.
Sites, in units of the cell vectors:
Sr 0.000 0.000 0.689  0.03
Sr 0.000 0.000 0.311  0.03
P 0.500 0.500 0.500  0.01
Zr 0.500 0.500 0.000  0.86

The value obtained for the electronic total energy is -17.4 eV/cell. Its formation energy is -0.094 eV per formula unit.